(1)
# GGA-PBE BeReSnPd2, relaxed
data_BeReSnPd2
_cell_length_a 4.8397
_cell_length_b 4.8397
_cell_length_c 5.1378
_cell_angle_alpha 90.00
_cell_angle_beta 90.00
_cell_angle_gamma 90.00
_symmetry_space_group_name_H-M 'P 4/m m m'
_symmetry_Int_Tables_number 123
_symmetry_space_group_name_Hall '-P 4 2'
loop_
_atom_site_label
_atom_site_type_symbol
_atom_site_fract_x
_atom_site_fract_y
_atom_site_fract_z
_atom_site_occupancy
Be1 Be 0.0000 0.0000 0.0000 1
Re1 Re 0.5000 0.5000 0.5000 1
Sn1 Sn 0.5000 0.5000 0.0000 1
Pd1 Pd 0.0000 0.5000 0.5000 1
# Electronic total energy, eV/atom: -4.6619
# Total magnetization, μB/cell: 0.00
# N(E_F), states/eV/cell: 4.330
# E_form, eV/atom: 1.451
# Calculated volume, Å³/atom: 24.07
# Theoretical density, g/cm3: 7.268

---

(2)
# GGA-PBE BePd2Rh2, relaxed
data_BePd2Rh2
_cell_length_a 5.8437
_cell_length_b 5.8437
_cell_length_c 4.2304
_cell_angle_alpha 90.00
_cell_angle_beta 90.00
_cell_angle_gamma 90.00
_symmetry_space_group_name_H-M 'P 4/m b m'
_symmetry_Int_Tables_number 127
_symmetry_space_group_name_Hall '-P 4 2ab'
loop_
_atom_site_label
_atom_site_type_symbol
_atom_site_fract_x
_atom_site_fract_y
_atom_site_fract_z
_atom_site_occupancy
Be1 Be 0.0000 0.0000 0.0000 1
Pd1 Pd 0.1655 0.3345 0.5000 1
Rh1 Rh 0.1494 0.6494 0.0000 1
# Electronic total energy, eV/atom: -5.6695
# Total magnetization, μB/cell: 0.00
# N(E_F), states/eV/cell: 11.409
# E_form, eV/atom: 0.093
# Calculated volume, Å³/atom: 14.45
# Theoretical density, g/cm3: 9.832

---

(3)
# GGA-PBE Be2Pd2Rh, relaxed
data_Be2Pd2Rh
_cell_length_a 2.7794
_cell_length_b 15.9193
_cell_length_c 2.7804
_cell_angle_alpha 90.00
_cell_angle_beta 90.00
_cell_angle_gamma 90.00
_symmetry_space_group_name_H-M 'C m m m'
_symmetry_Int_Tables_number 65
_symmetry_space_group_name_Hall '-C 2 2'
loop_
_atom_site_label
_atom_site_type_symbol
_atom_site_fract_x
_atom_site_fract_y
_atom_site_fract_z
_atom_site_occupancy
Be1 Be 0.0000 0.0852 0.0000 1
Pd1 Pd 0.0000 0.3252 0.5000 1
Rh1 Rh 0.0000 0.5000 0.5000 1
# Electronic total energy, eV/atom: -5.5159
# Total magnetization, μB/cell: 0.00
# N(E_F), states/eV/cell: 4.790
# E_form, eV/atom: -0.478
# Calculated volume, Å³/atom: 12.30
# Excess energy over the best structure of this formula in the dataset, meV per atom: 0
# Theoretical density, g/cm3: 9.011